Entry 1:
First-principles (PBE) data for crystalline PmPr8Cd2 at its relaxed geometry, as listed in Alexandria.

It has space group C2/m (No. 12), with a = 17.238 Å, b = 5.477 Å, c = 8.601 Å, α = 90.00°, β = 114.27° and γ = 90.00°. The distinct sites, in fractional coordinates, are Pm at (0.000, 0.000, 0.000), Pr at (0.052, 0.500, 0.739), Pr at (0.103, 0.000, 0.468), Pr at (0.150, 0.500, 0.208), Pr at (0.188, 0.000, 0.956) and Cd at (0.221, 0.500, 0.631).

The formation energy from the elements comes out at -0.074 eV per atom.

***

Entry 2:
First-principles (PBE) data for crystalline Pm6Pr8Cd at its relaxed geometry, as listed in Alexandria.

It has space group P-3 (No. 147), with a = 9.5760 Å, b = 9.5760 Å, c = 6.6094 Å, α = 90.00°, β = 90.00° and γ = 120.00°. The distinct sites, in fractional coordinates, are Pm at (0.0941, 0.6454, 0.1710), Pr at (0.0413, 0.7722, 0.6835), Pr at (0.3333, 0.6667, 0.6422) and Cd at (0.0000, 0.0000, 0.0000).

The formation energy from the elements comes out at 0.077 eV per atom.

***

Among the records above, which one has the highest formation energy from the elements?
Pm6Pr8Cd

***

The highest formation energy from the elements belongs to which entry?
Pm6Pr8Cd

***

What is the formation energy from the elements in the second record?
0.077 eV per atom